A plane-wave DFT calculation with PBE+U was carried out for a geometry-optimized YCrO4F structure.

Properties
* DOS(E_F): 0.000 states/eV per atom
* total magnetic moment: 0.00 μB/f.u.
* total energy: -52.13 eV per formula unit

Cell: 5.9014 5.9014 6.7169 Å, 76.93 76.93 75.76°
Sites, in units of the cell vectors:
Y  0.2046  0.2046  0.8943
Y  0.7954  0.7954  0.1057
Cr  0.6506  0.6506  0.7228
Cr  0.3494  0.3494  0.2772
O  0.2597  0.2597  0.5249
O  0.7403  0.7403  0.4751
O  0.1184  0.4825  0.1530
O  0.5307  0.5307  0.2443
O  0.5175  0.8816  0.8470
O  0.4825  0.1184  0.1530
O  0.4693  0.4693  0.7557
O  0.8816  0.5175  0.8470
F  0.0141  0.0141  0.1794
F  0.9859  0.9859  0.8206